Record 1
! PBEsol Li2AgSb, optimized geometry; values from VASP
&SYSTEM
  ibrav = 0, nat = 4, ntyp = 3
/
ATOMIC_SPECIES
Li 6.94 Li.upf
Ag 107.87 Ag.upf
Sb 121.76 Sb.upf
ATOMIC_POSITIONS angstrom
Li -5.9738 -0.4177 -6.0347
Li 0.0000 0.0000 0.0000
Ag -1.9913 -0.1392 -2.0116
Sb -3.9825 -0.2785 -4.0232
CELL_PARAMETERS angstrom
-1.1822 1.3992 -4.2498
-2.3505 -2.8374 -2.8000
-4.4324 0.8813 -0.9965
! - space group = F-43m
! - energy relative to the elements, uncorrected (meV/atom) = -475


Record 2
! PBEsol Cs2HgTe, optimized geometry; values from VASP
&SYSTEM
  ibrav = 0, nat = 4, ntyp = 3
/
ATOMIC_SPECIES
Te 127.60 Te.upf
Cs 132.91 Cs.upf
Hg 200.59 Hg.upf
ATOMIC_POSITIONS angstrom
Te 0.0000 0.0000 0.0000
Cs 9.3050 5.3723 3.7988
Cs 3.1017 1.7908 1.2663
Hg 6.2034 3.5815 2.5325
CELL_PARAMETERS angstrom
6.2034 0.0000 0.0000
3.1017 5.3723 0.0000
3.1017 1.7908 5.0650
! - space group = Fm-3m
! - energy relative to the elements, uncorrected (meV/atom) = -741


Record 3
! PBEsol KIn2Cu2, optimized geometry; values from VASP
&SYSTEM
  ibrav = 0, nat = 5, ntyp = 3
/
ATOMIC_SPECIES
Cu 63.55 Cu.upf
In 114.82 In.upf
K 39.10 K.upf
ATOMIC_POSITIONS angstrom
Cu -0.4316 -3.4742 0.0036
Cu -1.2163 -1.7394 2.7841
In 1.0417 -2.7898 2.0346
In -2.6896 -2.4239 0.7531
K 0.0000 0.0000 0.0000
CELL_PARAMETERS angstrom
-3.9142 0.4890 2.6745
-2.3447 -2.9806 -2.8865
4.6110 -2.7221 2.9998
! - space group = I4/mmm
! - energy of formation from the pure elements (eV/atom) = 0.11


Record 4
! PBEsol YCd2, optimized geometry; values from VASP
&SYSTEM
  ibrav = 0, nat = 3, ntyp = 2
/
ATOMIC_SPECIES
Cd 112.41 Cd.upf
Y 88.91 Y.upf
ATOMIC_POSITIONS angstrom
Cd 0.0000 0.0000 2.8049
Cd 0.0000 2.4291 1.4024
Y 1.7059 0.0000 0.0000
CELL_PARAMETERS angstrom
3.4117 0.0000 0.0000
0.0000 4.8582 0.0000
0.0000 -2.4291 4.2073
! - space group = P6/mmm
! - energy of formation from the pure elements (eV/atom) = -0.38


Record 5
! PBEsol MgReSeN2, optimized geometry; values from VASP
&SYSTEM
  ibrav = 0, nat = 5, ntyp = 4
/
ATOMIC_SPECIES
Mg 24.30 Mg.upf
N 14.01 N.upf
Re 186.21 Re.upf
Se 78.96 Se.upf
ATOMIC_POSITIONS angstrom
Mg 0.0000 0.0000 0.0000
N -1.2960 -0.6840 -1.2810
N -0.4754 1.8222 -0.4920
Re -3.5026 1.1567 -0.0314
Se -1.7312 0.0186 1.7416
CELL_PARAMETERS angstrom
-0.9509 3.6444 -0.9840
-2.5921 -1.3681 -2.5619
-3.4623 0.0372 3.4832
! - space group = P4/mmm
! - energy relative to the elements, uncorrected (meV/atom) = 1864


Record 6
! PBEsol Mg2ZrRe, optimized geometry; values from VASP
&SYSTEM
  ibrav = 0, nat = 4, ntyp = 3
/
ATOMIC_SPECIES
Mg 24.30 Mg.upf
Re 186.21 Re.upf
Zr 91.22 Zr.upf
ATOMIC_POSITIONS angstrom
Mg 0.4016 1.3118 2.4641
Mg -0.4016 -1.3118 2.4641
Re 1.4002 -0.0087 0.0000
Zr -0.5970 2.6322 0.0000
CELL_PARAMETERS angstrom
2.8004 -0.0174 0.0000
-1.1940 5.2644 0.0000
-0.8032 -2.6235 4.9282
! - space group = C2/m
! - excess energy over the best structure of this formula in the dataset (meV/atom) = 143
! - energy of formation from the pure elements (eV/atom) = 0.27


Listing theoretical density for the structures above in their given order: 5.77 5.84 5.64 7.47 7.08 7.46 g cm⁻³.
Listing V for the structures above in their given order: 17.52 42.20 23.30 23.25 14.89 18.14 Å³ per atom.
Listing magnetization for the structures above in their given order: 0.00 0.00 0.00 0.00 0.66 0.00 μB per cell.